[1]
First-principles (PBEsol) data for a relaxed structure of WBrN2, as listed in the Alexandria database.

Cell lengths 3.020, 3.020, 20.489 Å; angles 90.00, 90.00, 120.00 degrees
Sites, in units of the cell vectors:
W 0.000 0.000 0.000
W 0.333 0.667 0.667
W 0.667 0.333 0.333
Br 0.000 0.000 0.500
Br 0.333 0.667 0.167
Br 0.667 0.333 0.833
N 0.000 0.000 0.092
N 0.000 0.000 0.908
N 0.333 0.667 0.575
N 0.333 0.667 0.759
N 0.667 0.333 0.241
N 0.667 0.333 0.425

Results
**Fermi-level density of states**: 0.7243 states/eV per atom

***

[2]
First-principles (PBEsol) data for a relaxed structure of ZnBrN3, as listed in the Alexandria database.

Cell lengths 4.002, 4.002, 4.002 Å; angles 90.00, 90.00, 90.00 degrees
Sites, in units of the cell vectors:
Zn 0.000 0.000 0.000
Br 0.500 0.500 0.500
N 0.000 0.000 0.500
N 0.000 0.500 0.000
N 0.500 0.000 0.000

Results
**Fermi-level density of states**: 0.6669 states/eV per atom

***

[3]
First-principles (PBEsol) data for a relaxed structure of NaNbBr2, as listed in the Alexandria database.

Cell lengths 3.406, 3.406, 27.079 Å; angles 90.00, 90.00, 120.00 degrees
Sites, in units of the cell vectors:
Na 0.000 0.000 0.000
Na 0.333 0.667 0.667
Na 0.667 0.333 0.333
Nb 0.000 0.000 0.500
Nb 0.333 0.667 0.167
Nb 0.667 0.333 0.833
Br 0.000 0.000 0.407
Br 0.000 0.000 0.593
Br 0.333 0.667 0.073
Br 0.333 0.667 0.260
Br 0.667 0.333 0.740
Br 0.667 0.333 0.927

Results
**Fermi-level density of states**: 0.9775 states/eV per atom

***

[4]
First-principles (PBEsol) data for a relaxed structure of Na3NbBr, as listed in the Alexandria database.

Cell lengths 5.462, 5.462, 5.462 Å; angles 90.00, 90.00, 90.00 degrees
Sites, in units of the cell vectors:
Na 0.000 0.000 0.500
Na 0.000 0.500 0.000
Na 0.500 0.000 0.000
Nb 0.500 0.500 0.500
Br 0.000 0.000 0.000

Results
**Fermi-level density of states**: 0.4807 states/eV per atom

***

[5]
First-principles (PBEsol) data for a relaxed structure of NaNb3Br, as listed in the Alexandria database.

Cell lengths 4.742, 4.742, 4.742 Å; angles 90.00, 90.00, 90.00 degrees
Sites, in units of the cell vectors:
Na 0.000 0.000 0.000
Nb 0.000 0.000 0.500
Nb 0.000 0.500 0.000
Nb 0.500 0.000 0.000
Br 0.500 0.500 0.500

Results
**Fermi-level density of states**: 0.8596 states/eV per atom

***

[6]
First-principles (PBEsol) data for a relaxed structure of NaNb3Br, as listed in the Alexandria database.

Cell lengths 4.793, 4.793, 4.793 Å; angles 90.00, 90.00, 90.00 degrees
Sites, in units of the cell vectors:
Na 0.000 0.000 0.000
Nb 0.000 0.500 0.500
Nb 0.500 0.000 0.500
Nb 0.500 0.500 0.000
Br 0.500 0.500 0.500

Results
**Fermi-level density of states**: 1.9491 states/eV per atom

***

[7]
First-principles (PBEsol) data for a relaxed structure of Na3NiBr, as listed in the Alexandria database.

Cell lengths 5.240, 5.240, 5.240 Å; angles 90.00, 90.00, 90.00 degrees
Sites, in units of the cell vectors:
Na 0.000 0.000 0.500
Na 0.000 0.500 0.000
Na 0.500 0.000 0.000
Ni 0.000 0.000 0.000
Br 0.500 0.500 0.500

Results
**Fermi-level density of states**: 2.1893 states/eV per atom

***

[8]
First-principles (PBEsol) data for a relaxed structure of NaNiSeBr2, as listed in the Alexandria database.

Cell lengths 5.146, 5.146, 5.243 Å; angles 90.00, 90.00, 90.00 degrees
Sites, in units of the cell vectors:
Na 0.000 0.000 0.000
Ni 0.500 0.500 0.500
Se 0.000 0.000 0.500
Br 0.000 0.500 0.000
Br 0.500 0.000 0.000

Results
**Fermi-level density of states**: 2.3845 states/eV per atom

***

[9]
First-principles (PBEsol) data for a relaxed structure of NaNiSe2Br, as listed in the Alexandria database.

Cell lengths 4.613, 4.613, 5.258 Å; angles 90.00, 90.00, 90.00 degrees
Sites, in units of the cell vectors:
Na 0.000 0.000 0.000
Ni 0.500 0.500 0.500
Se 0.000 0.500 0.500
Se 0.500 0.000 0.500
Br 0.500 0.500 0.000

Results
**Fermi-level density of states**: 1.4287 states/eV per atom

***

[10]
First-principles (PBEsol) data for a relaxed structure of NaBrO2, as listed in the Alexandria database.

Cell lengths 4.628, 4.628, 12.099 Å; angles 90.00, 90.00, 90.00 degrees
Sites, in units of the cell vectors:
Na 0.000 0.000 0.000
Na 0.000 0.500 0.250
Na 0.500 0.000 0.750
Na 0.500 0.500 0.500
Br 0.000 0.000 0.500
Br 0.000 0.500 0.750
Br 0.500 0.000 0.250
Br 0.500 0.500 0.000
O 0.181 0.250 0.625
O 0.250 0.681 0.875
O 0.250 0.819 0.375
O 0.319 0.250 0.125
O 0.681 0.750 0.125
O 0.750 0.181 0.375
O 0.750 0.319 0.875
O 0.819 0.750 0.625

***

[11]
First-principles (PBEsol) data for a relaxed structure of NaPdBrO2, as listed in the Alexandria database.

Cell lengths 4.053, 4.053, 5.356 Å; angles 90.00, 90.00, 90.00 degrees
Sites, in units of the cell vectors:
Na 0.000 0.000 0.000
Pd 0.500 0.500 0.500
Br 0.000 0.000 0.500
O 0.000 0.500 0.000
O 0.500 0.000 0.000

Results
**Fermi-level density of states**: 0.7452 states/eV per atom

***

[12]
First-principles (PBEsol) data for a relaxed structure of NaSnBr2O, as listed in the Alexandria database.

Cell lengths 5.470, 5.470, 7.161 Å; angles 90.00, 90.00, 90.00 degrees
Sites, in units of the cell vectors:
Na 0.000 0.000 0.000
Sn 0.000 0.000 0.500
Br 0.000 0.500 0.500
Br 0.500 0.000 0.500
O 0.500 0.500 0.000

Results
**Fermi-level density of states**: 1.4192 states/eV per atom

***

| no. | total magnetization (μB per formula unit) | V (Å³/f.u.) | formation energy (no corrections) (eV per atom) |
| --- | --- | --- | --- |
| 1 | 0.00 | 53.9 | 1.623 |
| 2 | 4.36 | 64.1 | 2.276 |
| 3 | 0.21 | 90.7 | -0.290 |
| 4 | 5.02 | 163.0 | 0.533 |
| 5 | 0.00 | 106.6 | 2.315 |
| 6 | 0.00 | 110.1 | 1.268 |
| 7 | 0.20 | 143.9 | 0.079 |
| 8 | 3.02 | 138.9 | 0.698 |
| 9 | 0.35 | 111.9 | -0.270 |
| 10 | 0.00 | 64.8 | -0.184 |
| 11 | 3.51 | 88.0 | 0.652 |
| 12 | 1.31 | 214.3 | 0.142 |